VASP calculation (PBE+U) on Ac2CoAsO6 after structural relaxation.

Geometry as POSCAR:
```
Ac2CoAsO6
1.0
5.618 0.000 0.000
0.000 5.618 0.000
0.000 0.000 4.063
Ac Co As O
2 1 1 6
direct
0.000 0.500 0.000 Ac
0.500 0.000 0.000 Ac
0.000 0.000 0.506 Co
0.500 0.500 0.499 As
0.000 0.000 0.008 O
0.248 0.248 0.512 O
0.248 0.752 0.512 O
0.500 0.500 0.034 O
0.752 0.248 0.512 O
0.752 0.752 0.512 O
```

As for the density of states at the Fermi level: 0.105 states/eV per atom. The total moment comes out at 0.32 μB per cell. The calculated total energy comes out at -6.920 eV/atom. As for the space group: P4mm, No. 99.